# 1
BaCuAsPd2 | PBE | relaxed

Unit cell a=4.958 b=4.958 c=4.617 alpha=90.00 beta=90.00 gamma=90.00
Positions (direct):
1 Ba 0.000 0.000 0.000
2 Cu 0.500 0.500 0.000
3 As 0.500 0.500 0.500
4 Pd 0.000 0.500 0.500
5 Pd 0.500 0.000 0.500

Results
E_form: -2.1 eV/f.u.

# 2
BaPmCu2As2 | PBE | relaxed

Unit cell a=4.222 b=4.222 c=8.891 alpha=90.00 beta=90.00 gamma=120.00
Positions (direct):
1 Ba 0.000 0.000 0.000
2 Pm 0.000 0.000 0.500
3 Cu 0.333 0.667 0.718
4 Cu 0.667 0.333 0.282
5 As 0.333 0.667 0.276
6 As 0.667 0.333 0.724

Results
E_form: -4.9 eV/f.u.

# 3
BaPrCu2As2 | PBE | relaxed

Unit cell a=4.242 b=4.242 c=8.960 alpha=90.00 beta=90.00 gamma=120.00
Positions (direct):
1 Ba 0.000 0.000 0.000
2 Pr 0.000 0.000 0.500
3 Cu 0.333 0.667 0.721
4 Cu 0.667 0.333 0.279
5 As 0.333 0.667 0.271
6 As 0.667 0.333 0.729

Results
E_form: -4.9 eV/f.u.

no.,Fermi-level density of states (states/eV/f.u.),raw total energy (eV/atom)
1,0.46,-4.634
2,3.97,-4.850
3,4.06,-4.852